Entry 1
DFT (GGA-PBEsol) results for a geometry-optimized Y2PtBr structure.

Properties
The value obtained for the density of states at the Fermi level is 5.35 states/eV per cell. As for the space group: I4/mmm, No. 139.

Geometry as extended XYZ:
```
4
Lattice="-2.861 2.199 -3.331 -2.137 -2.135 4.045 2.546 4.161 0.560" Properties=species:S:1:pos:R:3 pbc="T T T"
Y 0.126 2.603 1.610
Y -2.577 1.622 -0.336
Pt 0.000 0.000 0.000
Br -0.157 3.180 -1.385
```

Entry 2
DFT (GGA-PBEsol) results for a geometry-optimized Y2PtBr structure.

Properties
The value obtained for the density of states at the Fermi level is 2.90 states/eV per cell. As for the space group: Amm2, No. 38.

Geometry as extended XYZ:
```
4
Lattice="-3.031 -0.002 -2.008 -1.408 -3.610 2.130 -1.021 3.248 4.829" Properties=species:S:1:pos:R:3 pbc="T T T"
Y -1.283 1.642 1.935
Y -0.707 -1.801 1.070
Br -1.558 0.054 -0.939
Pt -3.427 -0.260 1.882
```

It is entry 2 that is the most stable of them.

Entry 1
DFT (GGA-PBEsol) results for a geometry-optimized TcOs3 structure.

Properties
The value obtained for the density of states at the Fermi level is 5.65 states/eV per cell. As for the space group: Fm-3m, No. 225.

Geometry as extended XYZ:
```
4
Lattice="4.327 0.000 0.000 2.164 3.747 0.000 2.164 1.249 3.533" Properties=species:S:1:pos:R:3 pbc="T T T"
Os 6.491 3.747 2.650
Os 2.164 1.249 0.883
Os 4.327 2.498 1.767
Tc 0.000 0.000 0.000
```

Entry 2
DFT (GGA-PBEsol) results for a geometry-optimized TcOs3 structure.

Properties
The value obtained for the density of states at the Fermi level is 18.58 states/eV per cell. As for the space group: Pmmn, No. 59.

Geometry as extended XYZ:
```
24
Lattice="-4.293 0.962 1.676 -2.107 -3.870 -3.177 1.759 -8.806 9.561" Properties=species:S:1:pos:R:3 pbc="T T T"
Os -2.844 -6.825 3.234
Os -2.643 -7.526 8.605
Os -3.322 -4.254 2.741
Os -3.827 -1.602 2.173
Os -2.745 -7.140 5.875
Os -3.699 -9.466 7.013
Os -0.640 -3.775 2.695
Os -3.730 -2.421 -1.543
Os 0.038 -7.041 8.553
Os -1.790 -4.890 4.823
Os -0.065 -6.656 5.823
Os -1.145 -1.122 2.126
Os -4.883 -3.542 0.580
Os -1.056 -1.935 -1.587
Os -3.411 -3.442 6.455
Os -1.116 -8.586 4.238
Os -1.691 -5.705 1.110
Os -2.677 -0.486 0.045
Tc -4.457 -5.378 4.864
Tc -1.696 -5.191 7.449
Tc -2.267 -2.333 4.346
Tc -1.011 -8.991 6.979
Tc -0.010 0.002 0.004
Tc -2.200 -3.043 0.522
```

It is entry 2 that is the most stable of them.